(1)
First-principles (PBE) data for a geometry-optimized NdGePb structure, as listed in Alexandria via LeMat-Bulk.

Properties
- Energy above the most stable polymorph in this dataset: 0.000 eV per atom
- Energy: -4.91 eV per atom
- N(E_F): 4.962 states/eV/cell
- Volume: 27.17 Å³ per atom
- DFT formation energy: -0.54 eV/atom

a b c (Å): 4.510 17.592 4.110
angles (deg): 90.00 90.00 90.00
Space group Cmcm (No. 63)
Symmetry-distinct sites (fractional):
1 Nd 0.000 0.092 0.250 [4 per cell]
2 Ge 0.000 0.452 0.250 [4 per cell]
3 Pb 0.000 0.267 0.750 [4 per cell]



(2)
First-principles (PBE) data for a geometry-optimized Tl2Zn2O structure, as listed in Alexandria via LeMat-Bulk.

Properties
- Energy above the most stable polymorph in this dataset: 0.000 eV per atom
- Energy: -2.48 eV per atom
- Formation energy from raw total energies: -29.1 meV/atom
- N(E_F): 1.929 states/eV/cell
- Volume: 21.74 Å³ per atom

a b c (Å): 3.449 3.449 18.275
angles (deg): 90.00 90.00 90.00
Space group I4/mmm (No. 139)
Symmetry-distinct sites (fractional):
1 Tl 0.000 0.000 0.082 [4 per cell]
2 Zn 0.000 0.500 0.250 [4 per cell]
3 O 0.000 0.000 0.500 [2 per cell]